This record from Alexandria describes crystalline PrCd6Au4 at its relaxed geometry. The functional is PBE-GGA.

Structure (POSCAR):
```
PrCd6Au4
1.0
8.460 0.000 0.000
-4.230 7.326 0.000
0.000 0.000 4.031
Pr Cd Au
1 6 4
Cartesian
0.000 0.000 0.000
0.000 2.913 2.016
-1.707 5.870 2.016
4.230 0.555 0.000
2.596 3.386 0.000
1.707 5.870 2.016
5.864 3.386 0.000
0.000 4.884 0.000
2.236 1.291 2.016
6.223 1.291 2.016
4.230 4.744 2.016
```

Output
ΔE_f: -3.408 eV/f.u.
VASP energy: -26.8 eV per formula unit
V: 249.8 Å³ per cell
SG: P-6m2, No. 187